Computed, not measured: Hf2PdAu6 after structural relaxation at the PBE-GGA level of DFT.

## Properties
- DOS at the Fermi energy (states/eV per cell) = 3.58
- magnetic moment (μB per atom) = 0.000
- formation enthalpy at 0 K (eV per formula unit) = -3.79
- crystal system = monoclinic
- calculated density (g/cm3) = 16.7

Cell and atoms, written as extended XYZ:
```
9
Lattice="6.6113 -1.9265 0.0000 6.6113 1.9265 0.0000 -2.7713 0.0000 6.4375" Properties=species:S:1:pos:R:3 pbc="T T T"
Hf -0.0948 0.0000 2.0657
Hf 10.5461 0.0000 4.3718
Pd 6.6113 0.0000 0.0000
Au -0.6549 0.0000 6.4241
Au 1.8231 0.0000 4.2957
Au 4.3048 0.0000 2.1487
Au 6.1465 0.0000 4.2888
Au 8.6282 0.0000 2.1418
Au 11.1062 0.0000 0.0134
```